Entry 1:
Material: Rb3CeMg2F9
Method: DFT, PBE-GGA
State: optimized geometry

a b c (Å): 6.0381 6.0381 7.9628
angles (deg): 90.00 90.00 120.00
Last column: nearest neighbours and their distance in Å.
Space group P-3m1 (No. 164)
Asymmetric unit:
Rb1 0.0000 0.0000 0.0000  12 F 2.98-3.02
Rb2 0.3333 0.6667 0.7102  9 F 2.89-3.02
Ce1 0.0000 0.0000 0.5000  6 F 2.43
Mg1 0.3333 0.6667 0.1502  6 F 2.04-2.11
F1 0.0000 0.5000 0.0000  2 Mg 2.11
F2 0.1731 0.3461 0.2968  1 Mg 2.04

Output
E_form (uncorrected) = -3.15 eV per atom


Entry 2:
Material: Rb2CeMg3F12
Method: DFT, PBE-GGA
State: optimized geometry

a b c (Å): 7.4887 7.4887 17.8620
angles (deg): 90.00 90.00 120.00
Last column: nearest neighbours and their distance in Å.
Space group R-3m (No. 166, hexagonal axes)
Asymmetric unit:
Rb1 0.0000 0.0000 0.1041  9 F 3.06-3.31
Ce1 0.0000 0.0000 0.5000  6 F 2.22
Mg1 0.0000 0.5000 0.0000  6 F 1.95-2.08
F1 0.0210 0.5105 0.1164  1 Mg 2.08, 1 Ce 2.22
F2 0.0813 0.5406 0.3292  2 Mg 1.95

Output
E_form (uncorrected) = -3.42 eV per atom


Entry 3:
Material: CeMgTlF6
Method: DFT, PBE-GGA
State: optimized geometry

a b c (Å): 5.9706 5.9706 11.1876
angles (deg): 90.00 90.00 120.00
Last column: nearest neighbours and their distance in Å.
Space group P-31c (No. 163)
Asymmetric unit:
Ce1 0.3333 0.6667 0.2500  6 F 2.32
Mg1 0.3333 0.6667 0.7500  6 F 2.03
Tl1 0.0000 0.0000 0.0000  6 F 2.83
F1 0.0349 0.3974 0.6506  1 Mg 2.03

Output
E_form (uncorrected) = -3.30 eV per atom


> What is the E_form (uncorrected) in the third record?

-3.30 eV per atom


> Which of these has the lowest E_form (uncorrected)?

Rb2CeMg3F12